A plane-wave DFT calculation with PBE was carried out for a geometry-optimized YTlCuF6 structure.

Output
The final energy is -5.370 eV per atom. For the total moment, the calculation gives 1.00 μB/f.u. The formation energy from raw total energies is -2.686 eV per atom.

```
data_YTlCuF6
_chemical_formula_sum 'Y4 Tl4 Cu4 F24'
_symmetry_space_group_name_H-M 'I m m a'
_symmetry_Int_Tables_number 74
_symmetry_space_group_name_Hall '-I 2b 2'
_cell_length_a 7.3959
_cell_length_b 7.6268
_cell_length_c 10.2276
_cell_angle_alpha 90.00
_cell_angle_beta 90.00
_cell_angle_gamma 90.00
loop_
_atom_site_label
_atom_site_type_symbol
_atom_site_fract_x
_atom_site_fract_y
_atom_site_fract_z
Y1 Y 0.2500 0.2500 0.2500
Tl1 Tl 0.0000 0.2500 0.6608
Cu1 Cu 0.0000 0.0000 0.0000
F1 F 0.0000 0.2500 0.1175
F2 F 0.0000 0.2500 0.3740
F3 F 0.1939 0.0130 0.8685
```